Computed, not measured: a relaxed Pm2NdSi crystal at the GGA-PBE level of DFT.

```
Pm2NdSi
1.0
5.315 0.000 0.000
-2.657 6.447 0.000
0.000 0.000 6.747
Pm Si Nd
4 2 2
Cartesian
2.657 1.834 0.134
0.000 4.612 3.507
2.657 1.834 3.240
0.000 4.612 6.613
0.000 2.194 1.687
2.657 4.253 5.060
0.000 0.757 5.060
2.657 5.690 1.687
```

Computed properties:
Energy above the most stable polymorph in this dataset ... 0.098 eV per atom
Symmetry ... Cmcm
Size of the total moment ... 0.000 μB/atom
DFT total energy ... -41.53 eV per cell
Formation energy without anion corrections ... -0.27 eV/atom